The following is a GGA-PBE calculation of a geometry-optimized CdTe2P structure, from Alexandria.

* volume: 26.1 A^3/atom
* size of the total moment: 0.00 μB/f.u.
* uncorrected energy: -11.01 eV per cell

```
CdTe2P
1.0
3.347 0.045 0.000
-1.282 3.093 0.000
0.000 0.000 10.038
Cd P Te
1 1 2
Direct
0.500 0.500 0.250
0.500 0.500 0.750
0.000 0.000 0.950
0.000 0.000 0.550
```


The following is a GGA-PBE calculation of a geometry-optimized CdTe2P structure, from Alexandria.

* volume: 28.0 A^3/atom
* size of the total moment: 0.00 μB/f.u.
* uncorrected energy: -12.27 eV per cell

```
CdTe2P
1.0
4.491 0.000 0.000
0.000 4.958 -0.015
0.000 1.422 5.021
Te Cd P
2 1 1
Direct
0.500 0.223 0.314
0.000 0.944 0.953
0.000 0.524 0.511
0.500 0.809 0.721
```


The following is a GGA-PBE calculation of a geometry-optimized CdTeP2 structure, from Alexandria.

* volume: 23.1 A^3/atom
* size of the total moment: 0.00 μB/f.u.
* uncorrected energy: -14.03 eV per cell

```
CdTeP2
1.0
-1.200 2.797 -0.863
-1.040 -1.311 -2.803
-7.759 -2.133 3.877
P Cd Te
2 1 1
Direct
0.000 0.000 0.162
0.500 0.500 0.094
0.500 0.500 0.776
0.000 0.000 0.468
```


The following is a GGA-PBE calculation of a geometry-optimized Cd3TeP structure, from Alexandria.

* volume: 26.9 A^3/atom
* size of the total moment: 0.00 μB/f.u.
* uncorrected energy: -11.05 eV per cell

```
Cd3TeP
1.0
5.126 0.000 0.000
0.000 5.126 0.000
0.000 0.000 5.126
Cd Te P
3 1 1
Direct
0.500 0.000 0.000
0.000 0.000 0.500
0.000 0.500 0.000
0.500 0.500 0.500
0.000 0.000 0.000
```


The following is a GGA-PBE calculation of a geometry-optimized CdTeP structure, from Alexandria.

* volume: 25.9 A^3/atom
* size of the total moment: 0.00 μB/f.u.
* uncorrected energy: -8.17 eV per cell

```
CdTeP
1.0
4.787 0.000 0.000
2.394 4.146 0.000
2.394 1.382 3.909
Te Cd P
1 1 1
Direct
0.000 0.000 0.000
0.500 0.500 0.500
0.250 0.250 0.250
```


The following is a GGA-PBE calculation of a geometry-optimized CdTe2P structure, from Alexandria.

* volume: 24.2 A^3/atom
* size of the total moment: 0.00 μB/f.u.
* uncorrected energy: -10.58 eV per cell

```
CdTe2P
1.0
5.151 0.000 0.000
2.576 4.461 0.000
2.576 1.487 4.206
Te Cd P
2 1 1
Direct
0.250 0.250 0.250
0.000 0.000 0.000
0.500 0.500 0.500
0.750 0.750 0.750
```


The following is a GGA-PBE calculation of a geometry-optimized CdTe2P structure, from Alexandria.

* volume: 32.2 A^3/atom
* size of the total moment: 0.00 μB/f.u.
* uncorrected energy: -11.34 eV per cell

```
CdTe2P
1.0
3.957 0.000 0.000
0.000 8.214 0.000
0.000 0.000 3.966
Te P Cd
2 1 1
Direct
0.000 0.000 0.000
0.500 0.500 0.000
0.000 0.500 0.500
0.500 0.000 0.500
```


The following is a GGA-PBE calculation of a geometry-optimized CdTeP2 structure, from Alexandria.

* volume: 20.3 A^3/atom
* size of the total moment: 0.00 μB/f.u.
* uncorrected energy: -12.60 eV per cell

```
CdTeP2
1.0
-1.211 0.632 -3.138
-0.481 -4.781 -0.777
-4.527 0.166 1.780
P Cd Te
2 1 1
Direct
0.000 0.000 0.000
0.000 0.500 0.500
0.500 0.000 0.500
0.500 0.500 0.000
```


no.,formation energy (no corrections) (eV per atom)
1,0.3990
2,0.0851
3,0.2123
4,0.0486
5,0.4316
6,0.5071
7,0.3158
8,0.5699